{
  "formula": "SrZn2Pd6",
  "functional": "PBE",
  "state": "optimized geometry",
  "lattice_angstrom": [[-6.845, -3.942, 1.684], [-1.394, -2.649, 7.501], [-5.678, 3.523, 4.537]],
  "species": ["Sr", "Sr", "Zn", "Zn", "Zn", "Zn", "Pd", "Pd", "Pd", "Pd", "Pd", "Pd", "Pd", "Pd", "Pd", "Pd", "Pd", "Pd"],
  "frac_coords": [[0.500, 0.500, 0.500], [0.750, 0.750, 0.750], [0.125, 0.125, 0.125], [0.125, 0.625, 0.125], [0.125, 0.125, 0.625], [0.625, 0.125, 0.125], [0.251, 0.251, 0.749], [0.749, 0.749, 0.251], [0.251, 0.749, 0.251], [0.251, 0.749, 0.749], [0.501, 0.501, 0.999], [0.501, 0.999, 0.999], [0.749, 0.251, 0.749], [0.999, 0.999, 0.501], [0.501, 0.999, 0.501], [0.999, 0.501, 0.501], [0.749, 0.251, 0.251], [0.999, 0.501, 0.999]],
  "density_g_cm3": 7.6,
  "e_form_mev_per_atom": -43.8,
  "crystal_system": "cubic"
}